A relaxed structure of V7Mo2W3. Source: Alexandria via LeMat-Bulk, functional GGA-PBE. Values from VASP.

Structure (Quantum ESPRESSO input):
```
&SYSTEM
  ibrav = 0, nat = 12, ntyp = 3
/
ATOMIC_SPECIES
V 50.94 V.upf
Mo 95.94 Mo.upf
W 183.84 W.upf
CELL_PARAMETERS angstrom
2.160 -10.274 0.000
2.160 10.274 0.000
0.000 0.000 4.261
ATOMIC_POSITIONS crystal
V 0.000 0.000 0.000
V 0.074 0.926 0.500
V 0.281 0.719 0.000
V 0.426 0.574 0.000
V 0.574 0.426 0.000
V 0.719 0.281 0.000
V 0.926 0.074 0.500
Mo 0.147 0.853 0.000
Mo 0.853 0.147 0.000
W 0.350 0.650 0.500
W 0.500 0.500 0.500
W 0.650 0.350 0.500
```

symmetry	Cmmm (65)
formation enthalpy at 0 K	4.5	eV per formula unit
DOS at the Fermi energy	1.244	states/eV per atom
spin magnetization	0.00	μB/f.u.
VASP energy	-0.73386	Ry/atom
offset from the most stable computed form	216	meV per atom